DFT (PBE) results for crystalline Mn2SiPt2 at its relaxed geometry.

```
data_Mn2SiPt2
_chemical_formula_sum 'Mn4 Si2 Pt4'
_cell_length_a 6.281
_cell_length_b 6.281
_cell_length_c 4.086
_cell_angle_alpha 90.00
_cell_angle_beta 90.00
_cell_angle_gamma 90.00
_space_group_name_H-M_alt 'P 4/m b m'
_space_group_IT_number 127
_space_group_name_Hall '-P 4 2ab'
loop_
_atom_site_label
_atom_site_type_symbol
_atom_site_fract_x
_atom_site_fract_y
_atom_site_fract_z
Mn1 Mn 0.160 0.340 0.000
Si1 Si 0.000 0.000 0.500
Pt1 Pt 0.151 0.651 0.500
```

## Properties
total moment	1.602	μB per atom
E_form (uncorrected)	-0.2264	eV per atom